A relaxed TiMnO2 crystal. Source: the Alexandria database, functional GGA+U.

POSCAR file:
```
TiMnO2
1.0
1.485 0.857 6.239
-1.485 0.857 6.239
0.000 -1.715 6.239
Ti Mn O
1 1 2
Direct
0.000 0.000 0.000
0.500 0.500 0.500
0.393 0.393 0.393
0.607 0.607 0.607
```

Computed properties:
As for the total magnetization: 4.55 μB per cell. The energy relative to the lowest polymorph listed for this composition is 1 meV per atom. As for the space group: R-3m (166).